[1]
# ZrIn2Pb2 (PBE-GGA, relaxed)
data_ZrIn2Pb2
_chemical_formula_sum 'Zr2 In4 Pb4'
_cell_length_a 4.312
_cell_length_b 4.312
_cell_length_c 15.616
_cell_angle_alpha 90.00
_cell_angle_beta 90.00
_cell_angle_gamma 90.00
_space_group_name_H-M_alt 'I 4/m m m'
_space_group_IT_number 139
_space_group_name_Hall '-I 4 2'
loop_
_atom_site_label
_atom_site_fract_x
_atom_site_fract_y
_atom_site_fract_z
_atom_site_occupancy
Zr1 0.000 0.000 0.000 1
In1 0.000 0.000 0.412 1
Pb1 0.000 0.500 0.250 1
# M_tot	0.0	μB per formula unit
# D(E_F)	9.0	states/eV/cell
# distance to the lowest polymorph of the same formula	0.80	eV/f.u.
# uncorrected energy	-3.94	eV/atom
# crystal system	tetragonal
# ΔE_f	351.1	meV per atom



[2]
# Zr2InPb (PBE-GGA, relaxed)
data_Zr2InPb
_chemical_formula_sum 'Zr6 In3 Pb3'
_cell_length_a 3.2721
_cell_length_b 3.2721
_cell_length_c 30.7939
_cell_angle_alpha 90.00
_cell_angle_beta 90.00
_cell_angle_gamma 120.00
_space_group_name_H-M_alt 'R -3 m'
_space_group_IT_number 166
_space_group_name_Hall '-R 3 2"'
loop_
_atom_site_label
_atom_site_fract_x
_atom_site_fract_y
_atom_site_fract_z
_atom_site_occupancy
Zr1 0.0000 0.0000 0.2491 1
In1 0.0000 0.0000 0.5000 1
Pb1 0.0000 0.0000 0.0000 1
# M_tot	0.0	μB per formula unit
# D(E_F)	8.2	states/eV/cell
# uncorrected energy	-6.00	eV/atom
# crystal system	trigonal
# ΔE_f	-116.4	meV per atom



[3]
# Zr8InPb2 (PBE-GGA, relaxed)
data_Zr8InPb2
_chemical_formula_sum 'Zr16 In2 Pb4'
_cell_length_a 7.913
_cell_length_b 13.890
_cell_length_c 5.406
_cell_angle_alpha 90.00
_cell_angle_beta 116.81
_cell_angle_gamma 90.00
_space_group_name_H-M_alt 'C 1 2/m 1'
_space_group_IT_number 12
_space_group_name_Hall '-C 2y'
loop_
_atom_site_label
_atom_site_fract_x
_atom_site_fract_y
_atom_site_fract_z
_atom_site_occupancy
Zr1 0.000 0.218 0.000 1
Zr2 0.088 0.500 0.795 1
Zr3 0.204 0.109 0.661 1
In1 0.000 0.000 0.000 1
Pb1 0.000 0.306 0.500 1
# M_tot	0.0	μB per formula unit
# D(E_F)	22.5	states/eV/cell
# uncorrected energy	-7.14	eV/atom
# crystal system	monoclinic
# ΔE_f	4.3	meV per atom



[4]
# Zr6In2Pb (PBE-GGA, relaxed)
data_Zr6In2Pb
_chemical_formula_sum 'Zr12 In4 Pb2'
_cell_length_a 9.734
_cell_length_b 9.734
_cell_length_c 4.397
_cell_angle_alpha 90.00
_cell_angle_beta 90.00
_cell_angle_gamma 90.00
_space_group_name_H-M_alt 'P 42/m n m'
_space_group_IT_number 136
_space_group_name_Hall '-P 4n 2n'
loop_
_atom_site_label
_atom_site_fract_x
_atom_site_fract_y
_atom_site_fract_z
_atom_site_occupancy
Zr1 0.007 0.335 0.000 1
Zr2 0.153 0.847 0.500 1
In1 0.186 0.186 0.500 1
Pb1 0.000 0.000 0.000 1
# M_tot	0.0	μB per formula unit
# D(E_F)	16.3	states/eV/cell
# uncorrected energy	-6.91	eV/atom
# crystal system	tetragonal
# ΔE_f	-187.5	meV per atom



[5]
# Zr4InPb (PBE-GGA, relaxed)
data_Zr4InPb
_chemical_formula_sum 'Zr16 In4 Pb4'
_cell_length_a 8.315
_cell_length_b 8.315
_cell_length_c 8.315
_cell_angle_alpha 90.00
_cell_angle_beta 90.00
_cell_angle_gamma 90.00
_space_group_name_H-M_alt 'F -4 3 m'
_space_group_IT_number 216
_space_group_name_Hall 'F -4 2 3'
loop_
_atom_site_label
_atom_site_fract_x
_atom_site_fract_y
_atom_site_fract_z
_atom_site_occupancy
Zr1 0.124 0.124 0.124 1
In1 0.250 0.250 0.750 1
Pb1 0.000 0.000 0.500 1
# M_tot	0.0	μB per formula unit
# D(E_F)	25.5	states/eV/cell
# distance to the lowest polymorph of the same formula	2.13	eV/f.u.
# uncorrected energy	-6.62	eV/atom
# crystal system	cubic
# ΔE_f	154.9	meV per atom



[6]
# Zr2InPb (PBE-GGA, relaxed)
data_Zr2InPb
_chemical_formula_sum 'Zr8 In4 Pb4'
_cell_length_a 8.002
_cell_length_b 8.002
_cell_length_c 6.253
_cell_angle_alpha 90.00
_cell_angle_beta 90.00
_cell_angle_gamma 90.00
_space_group_name_H-M_alt 'I -4 2 d'
_space_group_IT_number 122
_space_group_name_Hall 'I -4 2bw'
loop_
_atom_site_label
_atom_site_fract_x
_atom_site_fract_y
_atom_site_fract_z
_atom_site_occupancy
Zr1 0.250 0.250 0.125 1
In1 0.000 0.000 0.000 1
Pb1 0.000 0.000 0.500 1
# M_tot	0.0	μB per formula unit
# D(E_F)	10.1	states/eV/cell
# uncorrected energy	-5.85	eV/atom
# crystal system	tetragonal
# ΔE_f	34.9	meV per atom



[7]
# Zr3InPb (PBE-GGA, relaxed)
data_Zr3InPb
_chemical_formula_sum 'Zr24 In8 Pb8'
_cell_length_a 12.337
_cell_length_b 9.980
_cell_length_c 8.918
_cell_angle_alpha 90.00
_cell_angle_beta 121.78
_cell_angle_gamma 90.00
_space_group_name_H-M_alt 'C 1 2/c 1'
_space_group_IT_number 15
_space_group_name_Hall '-C 2yc'
loop_
_atom_site_label
_atom_site_fract_x
_atom_site_fract_y
_atom_site_fract_z
_atom_site_occupancy
Zr1 0.090 0.136 0.165 1
Zr2 0.108 0.368 0.633 1
Zr3 0.196 0.366 0.039 1
In1 0.000 0.146 0.750 1
In2 0.000 0.405 0.250 1
Pb1 0.209 0.105 0.570 1
# M_tot	0.0	μB per formula unit
# D(E_F)	30.2	states/eV/cell
# distance to the lowest polymorph of the same formula	0.00	eV/f.u.
# uncorrected energy	-6.59	eV/atom
# crystal system	monoclinic
# ΔE_f	-170.1	meV per atom



[8]
# ZrInPb2 (PBE-GGA, relaxed)
data_ZrInPb2
_chemical_formula_sum 'Zr1 In1 Pb2'
_cell_length_a 3.453
_cell_length_b 5.179
_cell_length_c 6.131
_cell_angle_alpha 90.00
_cell_angle_beta 106.28
_cell_angle_gamma 90.00
_space_group_name_H-M_alt 'P 1 m 1'
_space_group_IT_number 6
_space_group_name_Hall 'P -2y'
loop_
_atom_site_label
_atom_site_fract_x
_atom_site_fract_y
_atom_site_fract_z
_atom_site_occupancy
Zr1 0.000 0.000 0.000 1
In1 0.152 0.500 0.300 1
Pb1 0.418 0.500 0.840 1
Pb2 0.735 0.000 0.465 1
# M_tot	0.0	μB per formula unit
# D(E_F)	2.0	states/eV/cell
# uncorrected energy	-4.71	eV/atom
# crystal system	monoclinic
# ΔE_f	-30.1	meV per atom



[9]
# ZrIn2Pb (PBE-GGA, relaxed)
data_ZrIn2Pb
_chemical_formula_sum 'Zr2 In4 Pb2'
_cell_length_a 6.274
_cell_length_b 9.390
_cell_length_c 3.352
_cell_angle_alpha 90.00
_cell_angle_beta 90.00
_cell_angle_gamma 90.00
_space_group_name_H-M_alt 'C m m m'
_space_group_IT_number 65
_space_group_name_Hall '-C 2 2'
loop_
_atom_site_label
_atom_site_fract_x
_atom_site_fract_y
_atom_site_fract_z
_atom_site_occupancy
Zr1 0.000 0.000 0.000 1
In1 0.250 0.250 0.500 1
Pb1 0.000 0.500 0.000 1
# M_tot	0.0	μB per formula unit
# D(E_F)	4.5	states/eV/cell
# uncorrected energy	-4.48	eV/atom
# crystal system	orthorhombic
# ΔE_f	-48.8	meV per atom



[10]
# ZrIn2Pb (PBE-GGA, relaxed)
data_ZrIn2Pb
_chemical_formula_sum 'Zr1 In2 Pb1'
_cell_length_a 3.488
_cell_length_b 4.441
_cell_length_c 6.434
_cell_angle_alpha 90.00
_cell_angle_beta 90.00
_cell_angle_gamma 90.00
_space_group_name_H-M_alt 'P m m 2'
_space_group_IT_number 25
_space_group_name_Hall 'P 2 -2'
loop_
_atom_site_label
_atom_site_fract_x
_atom_site_fract_y
_atom_site_fract_z
_atom_site_occupancy
Zr1 0.000 0.000 0.000 1
In1 0.000 0.000 0.484 1
In2 0.500 0.500 0.237 1
Pb1 0.500 0.500 0.756 1
# M_tot	0.0	μB per formula unit
# D(E_F)	2.1	states/eV/cell
# uncorrected energy	-4.49	eV/atom
# crystal system	orthorhombic
# ΔE_f	-57.3	meV per atom



[11]
# ZrIn2Pb (PBE-GGA, relaxed)
data_ZrIn2Pb
_chemical_formula_sum 'Zr1 In2 Pb1'
_cell_length_a 3.227
_cell_length_b 5.530
_cell_length_c 5.588
_cell_angle_alpha 90.00
_cell_angle_beta 90.06
_cell_angle_gamma 90.00
_space_group_name_H-M_alt 'P 1 2/m 1'
_space_group_IT_number 10
_space_group_name_Hall '-P 2y'
loop_
_atom_site_label
_atom_site_fract_x
_atom_site_fract_y
_atom_site_fract_z
_atom_site_occupancy
Zr1 0.000 0.000 0.000 1
In1 0.302 0.500 0.762 1
Pb1 0.500 0.000 0.500 1
# M_tot	0.0	μB per formula unit
# D(E_F)	1.8	states/eV/cell
# uncorrected energy	-4.44	eV/atom
# crystal system	monoclinic
# ΔE_f	-10.9	meV per atom



[12]
# Zr5In4Pb (PBE-GGA, relaxed)
data_Zr5In4Pb
_chemical_formula_sum 'Zr5 In4 Pb1'
_cell_length_a 3.817
_cell_length_b 3.817
_cell_length_c 15.647
_cell_angle_alpha 90.00
_cell_angle_beta 90.00
_cell_angle_gamma 90.00
_space_group_name_H-M_alt 'P 4/m m m'
_space_group_IT_number 123
_space_group_name_Hall '-P 4 2'
loop_
_atom_site_label
_atom_site_fract_x
_atom_site_fract_y
_atom_site_fract_z
_atom_site_occupancy
Zr1 0.000 0.000 0.000 1
Zr2 0.000 0.000 0.197 1
Zr3 0.000 0.000 0.399 1
In1 0.500 0.500 0.099 1
In2 0.500 0.500 0.295 1
Pb1 0.500 0.500 0.500 1
# M_tot	0.0	μB per formula unit
# D(E_F)	12.6	states/eV/cell
# uncorrected energy	-5.91	eV/atom
# crystal system	tetragonal
# ΔE_f	-165.2	meV per atom



The highest uncorrected energy belongs to which entry? ZrIn2Pb2